Entry 1:
# ScTaTe3

A crystal of ScTaTe3 relaxed with PBEsol (SCAN, Alexandria via LeMat-Bulk).

The structure in extended XYZ format:
```
5
Lattice="5.336 0.000 0.000 0.000 5.336 0.000 0.000 0.000 5.336" Properties=species:S:1:pos:R:3 pbc="T T T"
Sc 0.000 0.000 0.000
Ta 2.668 2.668 2.668
Te 0.000 2.668 2.668
Te 2.668 0.000 2.668
Te 2.668 2.668 0.000
```

SG: Pm-3m (221)
magnetic moment: 1.59 μB per formula unit
crystal system: cubic
energy relative to the elements, uncorrected: 0.23 eV/atom
DFT total energy: -191.44 eV/cell



Entry 2:
# ScTaTe4

A crystal of ScTaTe4 relaxed with PBEsol (SCAN, Alexandria via LeMat-Bulk).

The structure in extended XYZ format:
```
6
Lattice="0.000 4.260 4.260 4.260 0.000 4.260 4.260 4.260 0.000" Properties=species:S:1:pos:R:3 pbc="T T T"
Sc 0.000 0.000 0.000
Ta 6.389 6.389 6.389
Te 3.199 3.199 3.199
Te 5.320 5.320 3.199
Te 5.320 3.199 5.320
Te 3.199 5.320 5.320
```

SG: F-43m (216)
magnetic moment: 0.00 μB per formula unit
crystal system: cubic
energy relative to the elements, uncorrected: 0.96 eV/atom
DFT total energy: -224.08 eV/cell



Entry 3:
# Sc2TaTl

A crystal of Sc2TaTl relaxed with PBEsol (SCAN, Alexandria via LeMat-Bulk).

The structure in extended XYZ format:
```
4
Lattice="5.092 -1.571 0.000 5.092 1.571 0.000 -1.321 0.000 5.151" Properties=species:S:1:pos:R:3 pbc="T T T"
Sc 2.192 0.000 1.264
Sc 6.671 0.000 3.887
Ta 5.092 0.000 0.000
Tl -0.660 0.000 2.575
```

distance to the lowest polymorph of the same formula: 171 meV per atom
SG: C2/m (12)
magnetic moment: 0.00 μB per formula unit
energy of formation: 105 meV/atom
crystal system: monoclinic
DFT total energy: -166.99 eV/cell



Entry 4:
# ScTaTl2

A crystal of ScTaTl2 relaxed with PBEsol (SCAN, Alexandria via LeMat-Bulk).

The structure in extended XYZ format:
```
4
Lattice="3.082 -4.282 0.000 3.082 4.282 0.000 0.000 0.000 3.087" Properties=species:S:1:pos:R:3 pbc="T T T"
Sc 0.000 0.000 0.000
Ta 3.082 0.000 0.000
Tl 1.541 2.141 1.543
Tl 1.541 -2.141 1.543
```

SG: Cmmm (65)
magnetic moment: 0.00 μB per formula unit
energy of formation: 112 meV/atom
crystal system: orthorhombic
DFT total energy: -225.09 eV/cell



Entry 5:
# ScTaTl2

A crystal of ScTaTl2 relaxed with PBEsol (SCAN, Alexandria via LeMat-Bulk).

The structure in extended XYZ format:
```
4
Lattice="5.153 0.000 0.000 0.000 5.153 0.000 0.000 0.000 3.111" Properties=species:S:1:pos:R:3 pbc="T T T"
Sc 0.000 0.000 0.000
Ta 2.576 2.576 0.000
Tl 0.000 2.576 1.556
Tl 2.576 0.000 1.556
```

SG: P4/mmm (123)
magnetic moment: 0.00 μB per formula unit
energy of formation: 249 meV/atom
crystal system: tetragonal
DFT total energy: -224.54 eV/cell



Entry 6:
# Sc2TaTl

A crystal of Sc2TaTl relaxed with PBEsol (SCAN, Alexandria via LeMat-Bulk).

The structure in extended XYZ format:
```
4
Lattice="3.200 0.000 0.000 0.000 3.698 0.000 0.000 0.000 7.015" Properties=species:S:1:pos:R:3 pbc="T T T"
Sc 0.000 0.000 1.653
Sc 0.000 0.000 5.362
Ta 1.600 1.849 0.000
Tl 1.600 1.849 3.507
```

distance to the lowest polymorph of the same formula: 0 meV per atom
SG: Pmmm (47)
magnetic moment: 0.00 μB per formula unit
energy of formation: -66 meV/atom
crystal system: orthorhombic
DFT total energy: -167.68 eV/cell



Which formula does entry 3 have?
Sc2TaTl



Number 1 is which compound?
ScTaTe3



The highest magnetic moment belongs to which entry?
ScTaTe3



magnetic moment of number 1 (ScTaTe3)?
1.59 μB per formula unit